Model w:
This record from Alexandria via LeMat-Bulk describes a geometry-optimized TlFeO2 structure. The functional is PBE with a Hubbard U.

Summary:
- DOS(E_F) (states/eV/cell) = 4.83

Geometry as CIF:
```
data_TlFeO2
_space_group_name_H-M_alt 'R -3 m'
_space_group_IT_number 166
_space_group_name_Hall '-R 3 2"'
_cell_length_a 3.5300
_cell_length_b 3.5300
_cell_length_c 18.7983
_cell_angle_alpha 90.00
_cell_angle_beta 90.00
_cell_angle_gamma 120.00
loop_
_atom_site_label
_atom_site_type_symbol
_atom_site_fract_x
_atom_site_fract_y
_atom_site_fract_z
Tl1 Tl 0.0000 0.0000 0.0000
Fe1 Fe 0.0000 0.0000 0.5000
O1 O 0.0000 0.0000 0.4039
```


Model x:
This record from Alexandria via LeMat-Bulk describes a geometry-optimized TlFeO2 structure. The functional is PBE with a Hubbard U.

Summary:
- DOS(E_F) (states/eV/cell) = 22.58

Geometry as CIF:
```
data_TlFeO2
_space_group_name_H-M_alt 'F m -3 m'
_space_group_IT_number 225
_space_group_name_Hall '-F 4 2 3'
_cell_length_a 5.806
_cell_length_b 5.806
_cell_length_c 5.806
_cell_angle_alpha 90.00
_cell_angle_beta 90.00
_cell_angle_gamma 90.00
loop_
_atom_site_label
_atom_site_type_symbol
_atom_site_fract_x
_atom_site_fract_y
_atom_site_fract_z
Tl1 Tl 0.000 0.000 0.000
Fe1 Fe 0.000 0.000 0.500
O1 O 0.250 0.250 0.250
```


Model y:
This record from Alexandria via LeMat-Bulk describes a geometry-optimized TlFeO2 structure. The functional is PBE with a Hubbard U.

Summary:
- DOS(E_F) (states/eV/cell) = 0.00

Geometry as CIF:
```
data_TlFeO2
_space_group_name_H-M_alt 'R -3 m'
_space_group_IT_number 166
_space_group_name_Hall '-R 3 2"'
_cell_length_a 5.9531
_cell_length_b 5.9531
_cell_length_c 16.1773
_cell_angle_alpha 90.00
_cell_angle_beta 90.00
_cell_angle_gamma 120.00
loop_
_atom_site_label
_atom_site_type_symbol
_atom_site_fract_x
_atom_site_fract_y
_atom_site_fract_z
Tl1 Tl 0.0000 0.0000 0.2027
Fe1 Fe 0.0000 0.0000 0.3841
O1 O 0.0000 0.0000 0.5000
O2 O 0.0000 0.5000 0.0000
```


Model z:
This record from Alexandria via LeMat-Bulk describes a geometry-optimized TlFeO2 structure. The functional is PBE with a Hubbard U.

Summary:
- DOS(E_F) (states/eV/cell) = 1.08

Geometry as CIF:
```
data_TlFeO2
_space_group_name_H-M_alt 'R -3 m'
_space_group_IT_number 166
_space_group_name_Hall '-R 3 2"'
_cell_length_a 2.9968
_cell_length_b 2.9968
_cell_length_c 20.0212
_cell_angle_alpha 90.00
_cell_angle_beta 90.00
_cell_angle_gamma 120.00
loop_
_atom_site_label
_atom_site_type_symbol
_atom_site_fract_x
_atom_site_fract_y
_atom_site_fract_z
Tl1 Tl 0.0000 0.0000 0.0000
Fe1 Fe 0.0000 0.0000 0.5000
O1 O 0.0000 0.0000 0.1192
```


Top of the stability list: model y, leading by 421 meV/atom.


Model w:
This record from Alexandria via LeMat-Bulk describes a geometry-optimized VFe3O6 structure. The functional is PBE with a Hubbard U.

Geometry as CIF:
```
data_VFe3O6
_space_group_name_H-M_alt 'P 1 21/c 1'
_space_group_IT_number 14
_space_group_name_Hall '-P 2ybc'
_cell_length_a 5.103
_cell_length_b 5.126
_cell_length_c 9.754
_cell_angle_alpha 90.00
_cell_angle_beta 120.38
_cell_angle_gamma 90.00
loop_
_atom_site_label
_atom_site_type_symbol
_atom_site_fract_x
_atom_site_fract_y
_atom_site_fract_z
V1 V 0.000 0.000 0.000
Fe1 Fe 0.301 0.011 0.795
Fe2 Fe 0.500 0.000 0.500
O1 O 0.001 0.711 0.333
O2 O 0.332 0.749 0.153
O3 O 0.336 0.177 0.009
```


Model x:
This record from Alexandria via LeMat-Bulk describes a geometry-optimized VFe3O6 structure. The functional is PBE with a Hubbard U.

Geometry as CIF:
```
data_VFe3O6
_space_group_name_H-M_alt 'C m c 21'
_space_group_IT_number 36
_space_group_name_Hall 'C 2c -2'
_cell_length_a 8.472
_cell_length_b 10.137
_cell_length_c 5.418
_cell_angle_alpha 90.00
_cell_angle_beta 90.00
_cell_angle_gamma 90.00
loop_
_atom_site_label
_atom_site_type_symbol
_atom_site_fract_x
_atom_site_fract_y
_atom_site_fract_z
V1 V 0.000 0.167 0.000
Fe1 Fe 0.000 0.445 0.411
Fe2 Fe 0.207 0.123 0.478
O1 O 0.000 0.003 0.535
O2 O 0.000 0.239 0.302
O3 O 0.153 0.492 0.669
O4 O 0.165 0.219 0.839
```


Top of the stability list: model w, leading by 57 meV/atom.


Model w:
This record from Alexandria via LeMat-Bulk describes a geometry-optimized FeWO2 structure. The functional is PBE with a Hubbard U.

Summary:
- DOS(E_F) (states/eV/cell) = 4.60

Geometry as CIF:
```
data_FeWO2
_space_group_name_H-M_alt 'R -3 m'
_space_group_IT_number 166
_space_group_name_Hall '-R 3 2"'
_cell_length_a 2.8267
_cell_length_b 2.8267
_cell_length_c 20.2748
_cell_angle_alpha 90.00
_cell_angle_beta 90.00
_cell_angle_gamma 120.00
loop_
_atom_site_label
_atom_site_type_symbol
_atom_site_fract_x
_atom_site_fract_y
_atom_site_fract_z
Fe1 Fe 0.0000 0.0000 0.0000
W1 W 0.0000 0.0000 0.5000
O1 O 0.0000 0.0000 0.0960
```


Model x:
This record from Alexandria via LeMat-Bulk describes a geometry-optimized FeWO2 structure. The functional is PBE with a Hubbard U.

Summary:
- DOS(E_F) (states/eV/cell) = 5.46

Geometry as CIF:
```
data_FeWO2
_space_group_name_H-M_alt 'R -3 m'
_space_group_IT_number 166
_space_group_name_Hall '-R 3 2"'
_cell_length_a 3.0023
_cell_length_b 3.0023
_cell_length_c 18.7081
_cell_angle_alpha 90.00
_cell_angle_beta 90.00
_cell_angle_gamma 120.00
loop_
_atom_site_label
_atom_site_type_symbol
_atom_site_fract_x
_atom_site_fract_y
_atom_site_fract_z
Fe1 Fe 0.0000 0.0000 0.0000
W1 W 0.0000 0.0000 0.5000
O1 O 0.0000 0.0000 0.3968
```


Top of the stability list: model x, leading by 117 meV/atom.


Model w:
This record from Alexandria via LeMat-Bulk describes a geometry-optimized FeWO2 structure. The functional is PBE with a Hubbard U.

Summary:
- DOS(E_F) (states/eV/cell) = 5.86

Geometry as CIF:
```
data_FeWO2
_space_group_name_H-M_alt 'I -4 2 d'
_space_group_IT_number 122
_space_group_name_Hall 'I -4 2bw'
_cell_length_a 4.827
_cell_length_b 4.827
_cell_length_c 9.670
_cell_angle_alpha 90.00
_cell_angle_beta 90.00
_cell_angle_gamma 90.00
loop_
_atom_site_label
_atom_site_type_symbol
_atom_site_fract_x
_atom_site_fract_y
_atom_site_fract_z
Fe1 Fe 0.000 0.000 0.000
W1 W 0.000 0.000 0.500
O1 O 0.249 0.250 0.125
```


Model x:
This record from Alexandria via LeMat-Bulk describes a geometry-optimized FeWO2 structure. The functional is PBE with a Hubbard U.

Summary:
- DOS(E_F) (states/eV/cell) = 5.37

Geometry as CIF:
```
data_FeWO2
_space_group_name_H-M_alt 'F m -3 m'
_space_group_IT_number 225
_space_group_name_Hall '-F 4 2 3'
_cell_length_a 5.497
_cell_length_b 5.497
_cell_length_c 5.497
_cell_angle_alpha 90.00
_cell_angle_beta 90.00
_cell_angle_gamma 90.00
loop_
_atom_site_label
_atom_site_type_symbol
_atom_site_fract_x
_atom_site_fract_y
_atom_site_fract_z
Fe1 Fe 0.000 0.000 0.000
W1 W 0.000 0.000 0.500
O1 O 0.250 0.250 0.250
```


Top of the stability list: model w, leading by 285 meV/atom.


Model w:
This record from Alexandria via LeMat-Bulk describes a geometry-optimized YFe3O structure. The functional is PBE with a Hubbard U.

Summary:
- DOS(E_F) (states/eV/cell) = 10.90

Geometry as CIF:
```
data_YFe3O
_space_group_name_H-M_alt 'P m -3 m'
_space_group_IT_number 221
_space_group_name_Hall '-P 4 2 3'
_cell_length_a 5.347
_cell_length_b 5.347
_cell_length_c 5.347
_cell_angle_alpha 90.00
_cell_angle_beta 90.00
_cell_angle_gamma 90.00
loop_
_atom_site_label
_atom_site_type_symbol
_atom_site_fract_x
_atom_site_fract_y
_atom_site_fract_z
Y1 Y 0.000 0.000 0.000
Fe1 Fe 0.000 0.000 0.500
O1 O 0.500 0.500 0.500
```


Model x:
This record from Alexandria via LeMat-Bulk describes a geometry-optimized YFe3O structure. The functional is PBE with a Hubbard U.

Summary:
- DOS(E_F) (states/eV/cell) = 2.79

Geometry as CIF:
```
data_YFe3O
_space_group_name_H-M_alt 'P m -3 m'
_space_group_IT_number 221
_space_group_name_Hall '-P 4 2 3'
_cell_length_a 4.402
_cell_length_b 4.402
_cell_length_c 4.402
_cell_angle_alpha 90.00
_cell_angle_beta 90.00
_cell_angle_gamma 90.00
loop_
_atom_site_label
_atom_site_type_symbol
_atom_site_fract_x
_atom_site_fract_y
_atom_site_fract_z
Y1 Y 0.000 0.000 0.000
Fe1 Fe 0.000 0.500 0.500
O1 O 0.500 0.500 0.500
```


Top of the stability list: model x, leading by 2127 meV/atom.


Model w:
This record from Alexandria via LeMat-Bulk describes a geometry-optimized YFeO2 structure. The functional is PBE with a Hubbard U.

Summary:
- DOS(E_F) (states/eV/cell) = 3.48

Geometry as CIF:
```
data_YFeO2
_space_group_name_H-M_alt 'R -3 m'
_space_group_IT_number 166
_space_group_name_Hall '-R 3 2"'
_cell_length_a 3.5004
_cell_length_b 3.5004
_cell_length_c 17.4933
_cell_angle_alpha 90.00
_cell_angle_beta 90.00
_cell_angle_gamma 120.00
loop_
_atom_site_label
_atom_site_type_symbol
_atom_site_fract_x
_atom_site_fract_y
_atom_site_fract_z
Y1 Y 0.0000 0.0000 0.0000
Fe1 Fe 0.0000 0.0000 0.5000
O1 O 0.0000 0.0000 0.3927
```


Model x:
This record from Alexandria via LeMat-Bulk describes a geometry-optimized YFeO2 structure. The functional is PBE with a Hubbard U.

Summary:
- DOS(E_F) (states/eV/cell) = 0.00

Geometry as CIF:
```
data_YFeO2
_space_group_name_H-M_alt 'F m -3 m'
_space_group_IT_number 225
_space_group_name_Hall '-F 4 2 3'
_cell_length_a 5.661
_cell_length_b 5.661
_cell_length_c 5.661
_cell_angle_alpha 90.00
_cell_angle_beta 90.00
_cell_angle_gamma 90.00
loop_
_atom_site_label
_atom_site_type_symbol
_atom_site_fract_x
_atom_site_fract_y
_atom_site_fract_z
Y1 Y 0.000 0.000 0.000
Fe1 Fe 0.000 0.000 0.500
O1 O 0.250 0.250 0.250
```


Top of the stability list: model w, leading by 242 meV/atom.


Model w:
This record from Alexandria via LeMat-Bulk describes a geometry-optimized YFeO2 structure. The functional is PBE with a Hubbard U.

Summary:
- DOS(E_F) (states/eV/cell) = 6.58

Geometry as CIF:
```
data_YFeO2
_space_group_name_H-M_alt 'I -4 2 d'
_space_group_IT_number 122
_space_group_name_Hall 'I -4 2bw'
_cell_length_a 4.930
_cell_length_b 4.930
_cell_length_c 10.411
_cell_angle_alpha 90.00
_cell_angle_beta 90.00
_cell_angle_gamma 90.00
loop_
_atom_site_label
_atom_site_type_symbol
_atom_site_fract_x
_atom_site_fract_y
_atom_site_fract_z
Y1 Y 0.000 0.000 0.000
Fe1 Fe 0.000 0.000 0.500
O1 O 0.235 0.250 0.625
```


Model x:
This record from Alexandria via LeMat-Bulk describes a geometry-optimized YFeO2 structure. The functional is PBE with a Hubbard U.

Summary:
- DOS(E_F) (states/eV/cell) = 4.96

Geometry as CIF:
```
data_YFeO2
_space_group_name_H-M_alt 'R -3 m'
_space_group_IT_number 166
_space_group_name_Hall '-R 3 2"'
_cell_length_a 3.2755
_cell_length_b 3.2755
_cell_length_c 18.7341
_cell_angle_alpha 90.00
_cell_angle_beta 90.00
_cell_angle_gamma 120.00
loop_
_atom_site_label
_atom_site_type_symbol
_atom_site_fract_x
_atom_site_fract_y
_atom_site_fract_z
Y1 Y 0.0000 0.0000 0.0000
Fe1 Fe 0.0000 0.0000 0.5000
O1 O 0.0000 0.0000 0.1146
```


Top of the stability list: model w, leading by 462 meV/atom.


Model w:
This record from Alexandria via LeMat-Bulk describes a geometry-optimized ZnFe2O structure. The functional is PBE with a Hubbard U.

Summary:
- DOS(E_F) (states/eV/cell) = 10.38

Geometry as CIF:
```
data_ZnFe2O
_space_group_name_H-M_alt 'F m -3 m'
_space_group_IT_number 225
_space_group_name_Hall '-F 4 2 3'
_cell_length_a 5.912
_cell_length_b 5.912
_cell_length_c 5.912
_cell_angle_alpha 90.00
_cell_angle_beta 90.00
_cell_angle_gamma 90.00
loop_
_atom_site_label
_atom_site_type_symbol
_atom_site_fract_x
_atom_site_fract_y
_atom_site_fract_z
Zn1 Zn 0.000 0.000 0.000
Fe1 Fe 0.250 0.250 0.250
O1 O 0.000 0.000 0.500
```


Model x:
This record from Alexandria via LeMat-Bulk describes a geometry-optimized ZnFe2O structure. The functional is PBE with a Hubbard U.

Summary:
- DOS(E_F) (states/eV/cell) = 3.09

Geometry as CIF:
```
data_ZnFe2O
_space_group_name_H-M_alt 'I -4 2 d'
_space_group_IT_number 122
_space_group_name_Hall 'I -4 2bw'
_cell_length_a 5.907
_cell_length_b 5.907
_cell_length_c 7.467
_cell_angle_alpha 90.00
_cell_angle_beta 90.00
_cell_angle_gamma 90.00
loop_
_atom_site_label
_atom_site_type_symbol
_atom_site_fract_x
_atom_site_fract_y
_atom_site_fract_z
Zn1 Zn 0.000 0.000 0.000
Fe1 Fe 0.166 0.750 0.625
O1 O 0.000 0.000 0.500
```


Top of the stability list: model x, leading by 661 meV/atom.